The following is a PBE-GGA calculation of a geometry-optimized LiTb3Zn structure, from the Alexandria database.

POSCAR file:
```
LiTb3Zn
1.0
-0.835 -3.324 3.782
4.743 0.777 1.730
-3.675 5.605 7.559
Li Tb Zn
2 6 2
Direct
0.480 0.750 0.688 Li
0.168 0.250 0.312 Li
0.759 0.250 0.130 Tb
0.387 0.250 0.874 Tb
0.574 0.250 0.500 Tb
0.261 0.750 0.126 Tb
0.889 0.750 0.870 Tb
0.074 0.750 0.500 Tb
0.665 0.750 0.318 Zn
0.983 0.250 0.682 Zn
```

Results
ρ = 7.2 g/cm³
Raw total energy = -3.5079 eV/atom
Space group = Cmcm
Energy of formation = -0.09 eV/atom



The following is a PBE-GGA calculation of a geometry-optimized K2GaAu2 structure, from the Alexandria database.

POSCAR file:
```
K2GaAu2
1.0
-5.966 -2.099 -3.526
2.361 -6.844 0.078
-2.461 -0.796 4.638
K Au Ga
4 4 2
Direct
0.169 0.669 0.500 K
0.669 0.831 0.500 K
0.831 0.331 0.500 K
0.331 0.169 0.500 K
0.357 0.857 0.000 Au
0.857 0.643 0.000 Au
0.643 0.143 0.000 Au
0.143 0.357 0.000 Au
0.000 0.000 0.000 Ga
0.500 0.500 0.000 Ga
```

Results
ρ = 6.5 g/cm³
Raw total energy = -2.5665 eV/atom
Space group = P4/mbm
Energy of formation = -0.21 eV/atom
ΔE to the lowest computed polymorph = 0.32 eV/f.u.



The following is a PBE-GGA calculation of a geometry-optimized La2Pr2Cd structure, from the Alexandria database.

POSCAR file:
```
La2Pr2Cd
1.0
3.753 0.000 -0.602
-0.097 3.752 -0.602
0.028 0.029 12.173
La Pr Cd
2 2 1
Direct
0.588 0.588 0.175 La
0.412 0.412 0.825 La
0.803 0.803 0.606 Pr
0.197 0.197 0.394 Pr
0.000 0.000 0.000 Cd
```

Results
ρ = 6.5 g/cm³
Raw total energy = -4.1870 eV/atom
Space group = I4/mmm
Energy of formation = -0.12 eV/atom
ΔE to the lowest computed polymorph = 0.00 eV/f.u.



Repeat the first record exactly.
The following is a PBE-GGA calculation of a geometry-optimized LiTb3Zn structure, from the Alexandria database.

POSCAR file:
```
LiTb3Zn
1.0
-0.835 -3.324 3.782
4.743 0.777 1.730
-3.675 5.605 7.559
Li Tb Zn
2 6 2
Direct
0.480 0.750 0.688 Li
0.168 0.250 0.312 Li
0.759 0.250 0.130 Tb
0.387 0.250 0.874 Tb
0.574 0.250 0.500 Tb
0.261 0.750 0.126 Tb
0.889 0.750 0.870 Tb
0.074 0.750 0.500 Tb
0.665 0.750 0.318 Zn
0.983 0.250 0.682 Zn
```

Results
ρ = 7.2 g/cm³
Raw total energy = -3.5079 eV/atom
Space group = Cmcm
Energy of formation = -0.09 eV/atom



Please write out number 2 again, unchanged.
The following is a PBE-GGA calculation of a geometry-optimized K2GaAu2 structure, from the Alexandria database.

POSCAR file:
```
K2GaAu2
1.0
-5.966 -2.099 -3.526
2.361 -6.844 0.078
-2.461 -0.796 4.638
K Au Ga
4 4 2
Direct
0.169 0.669 0.500 K
0.669 0.831 0.500 K
0.831 0.331 0.500 K
0.331 0.169 0.500 K
0.357 0.857 0.000 Au
0.857 0.643 0.000 Au
0.643 0.143 0.000 Au
0.143 0.357 0.000 Au
0.000 0.000 0.000 Ga
0.500 0.500 0.000 Ga
```

Results
ρ = 6.5 g/cm³
Raw total energy = -2.5665 eV/atom
Space group = P4/mbm
Energy of formation = -0.21 eV/atom
ΔE to the lowest computed polymorph = 0.32 eV/f.u.



Repeat the first record exactly.
The following is a PBE-GGA calculation of a geometry-optimized LiTb3Zn structure, from the Alexandria database.

POSCAR file:
```
LiTb3Zn
1.0
-0.835 -3.324 3.782
4.743 0.777 1.730
-3.675 5.605 7.559
Li Tb Zn
2 6 2
Direct
0.480 0.750 0.688 Li
0.168 0.250 0.312 Li
0.759 0.250 0.130 Tb
0.387 0.250 0.874 Tb
0.574 0.250 0.500 Tb
0.261 0.750 0.126 Tb
0.889 0.750 0.870 Tb
0.074 0.750 0.500 Tb
0.665 0.750 0.318 Zn
0.983 0.250 0.682 Zn
```

Results
ρ = 7.2 g/cm³
Raw total energy = -3.5079 eV/atom
Space group = Cmcm
Energy of formation = -0.09 eV/atom